VASP calculation (GGA-PBE) on a relaxed structure of GaOs2Pt.

```
data_GaOs2Pt
_cell_length_a 6.2161
_cell_length_b 6.2161
_cell_length_c 6.2161
_cell_angle_alpha 90.00
_cell_angle_beta 90.00
_cell_angle_gamma 90.00
_space_group_name_H-M_alt 'F -4 3 m'
_space_group_IT_number 216
_space_group_name_Hall 'F -4 2 3'
loop_
_atom_site_label
_atom_site_fract_x
_atom_site_fract_y
_atom_site_fract_z
Ga1 0.0000 0.0000 0.0000
Os1 0.0000 0.0000 0.5000
Os2 0.2500 0.2500 0.7500
Pt1 0.2500 0.2500 0.2500
```

crystal system	cubic
M_tot	0.82	μB/f.u.
density	17.84	g/cm3
total energy	-29.968	eV per formula unit



VASP calculation (GGA-PBE) on a relaxed structure of MgAsPtAu.

```
data_MgAsPtAu
_cell_length_a 6.4948
_cell_length_b 6.4948
_cell_length_c 6.4948
_cell_angle_alpha 90.00
_cell_angle_beta 90.00
_cell_angle_gamma 90.00
_space_group_name_H-M_alt 'F -4 3 m'
_space_group_IT_number 216
_space_group_name_Hall 'F -4 2 3'
loop_
_atom_site_label
_atom_site_fract_x
_atom_site_fract_y
_atom_site_fract_z
Mg1 0.0000 0.0000 0.0000
As1 0.0000 0.0000 0.5000
Pt1 0.2500 0.2500 0.7500
Au1 0.2500 0.2500 0.2500
```

crystal system	cubic
M_tot	0.00	μB/f.u.
density	11.91	g/cm3
total energy	-16.556	eV per formula unit
ΔE to the lowest computed polymorph	0	meV per atom